Computed, not measured: a relaxed MoPbOF2 crystal at the PBE with a Hubbard U level of DFT.

Size of the total moment in μB per cell: 4.9
Symmetry: P4/mmm
VASP energy in Ry/atom: -0.3518
Mass density in g/cm3: 6.51

Lattice parameters (Å, degrees): 4.6008 4.6008 4.3014 90.00 90.00 90.00
With the nearest neighbours (Å) after each atom.
Fractional positions:
Pb 0.0000 0.0000 0.0000  2 O 2.15, 4 F 2.30
Mo 0.5000 0.5000 0.5000  8 F 3.15, 4 O 3.25
O 0.0000 0.0000 0.5000  2 Pb 2.15
F 0.0000 0.5000 0.0000  2 Pb 2.30
F 0.5000 0.0000 0.0000  2 Pb 2.30